(1)
This record from the Alexandria database describes a relaxed structure of BeCd2Se. The functional is PBE.

* space-group type: Pm (6)

abc: 3.4655 4.3870 5.9879
angles: 76.97 90.00 90.00
Element x y z (fractional)
1 Cd 0.5000 0.3541 0.2048
2 Cd 0.0000 0.9678 0.9593
3 Se 0.0000 0.5864 0.5609
4 Be 0.5000 0.5917 0.7751

---

(2)
This record from the Alexandria database describes a relaxed structure of Be2CdSe3. The functional is PBE.

* space-group type: Fdd2 (43)

abc: 6.6926 6.6926 12.3851
angles: 100.72 100.72 108.15
Element x y z (fractional)
1 Be 0.6667 0.3333 0.5000
2 Be 0.5018 0.1712 0.1703
3 Be 0.8288 0.4982 0.8297
4 Be 0.9167 0.0833 0.0000
5 Be 0.0815 0.2510 0.3297
6 Be 0.1681 0.8319 0.5000
7 Be 0.7490 0.9185 0.6703
8 Be 0.4181 0.5819 0.0000
9 Se 0.0468 0.4320 0.9720
10 Se 0.8301 0.2752 0.6641
11 Se 0.4920 0.4130 0.8493
12 Se 0.1389 0.0839 0.1641
13 Se 0.5680 0.9532 0.0280
14 Se 0.9161 0.8611 0.8359
15 Se 0.5870 0.5080 0.1507
16 Se 0.2901 0.1752 0.4720
17 Se 0.8248 0.7099 0.5280
18 Se 0.1863 0.6073 0.3493
19 Se 0.3927 0.8137 0.6507
20 Se 0.7248 0.1699 0.3359
21 Cd 0.3344 0.9986 0.8443
22 Cd 0.0014 0.6656 0.1557
23 Cd 0.5956 0.7599 0.3443
24 Cd 0.2401 0.4044 0.6557

---

(3)
This record from the Alexandria database describes a relaxed structure of BeCdSe2. The functional is PBE.

* space-group type: P4/mmm (123)

abc: 3.3114 4.8349 4.8349
angles: 90.00 90.00 90.00
Element x y z (fractional)
1 Se 0.0000 0.0000 0.0000
2 Se 0.0000 0.5000 0.5000
3 Cd 0.5000 0.0000 0.5000
4 Be 0.5000 0.5000 0.0000

---

(4)
This record from the Alexandria database describes a relaxed structure of BeCdSe2. The functional is PBE.

* space-group type: Pna2_1 (33)

abc: 6.8291 8.0829 6.5659
angles: 90.00 90.00 90.00
Element x y z (fractional)
1 Se 0.1108 0.3473 0.5935
2 Se 0.5525 0.5974 0.6573
3 Se 0.8892 0.6527 0.0935
4 Se 0.3892 0.8473 0.0935
5 Se 0.9475 0.0974 0.1573
6 Se 0.6108 0.1527 0.5935
7 Se 0.4475 0.4026 0.1573
8 Se 0.0525 0.9026 0.6573
9 Be 0.5705 0.6258 0.0004
10 Be 0.4295 0.3742 0.5004
11 Be 0.0705 0.8742 0.0004
12 Be 0.9295 0.1258 0.5004
13 Cd 0.5892 0.1225 0.9986
14 Cd 0.0892 0.3775 0.9986
15 Cd 0.9108 0.6225 0.4986
16 Cd 0.4108 0.8775 0.4986

---

| no. | formation energy from raw total energies (eV/atom) |
| --- | --- |
| 1 | 0.00 |
| 2 | -0.69 |
| 3 | 0.39 |
| 4 | -0.69 |